Entry 1:
Computed, not measured: Ho12ErTm5 after structural relaxation at the PBE level of DFT.

a b c (Å): 6.0915 6.0910 17.1637
angles (deg): 86.62 83.23 60.00
Closest atoms and distances in Å follow each position.
Fractional coordinates of all 18 atoms:
1 Ho 0.4451 0.3333 0.6669  3 Tm 3.49-3.50, 9 Ho 3.49-3.52
2 Ho 0.2216 0.3333 0.3331  3 Tm 3.49-3.50, 9 Ho 3.49-3.52
3 Ho 0.0560 0.3335 0.8339  2 Tm 3.48-3.49, 1 Er 3.49, 9 Ho 3.49-3.52
4 Ho 0.3895 0.6665 0.8339  2 Tm 3.48-3.49, 1 Er 3.49, 9 Ho 3.49-3.52
5 Ho 0.9440 0.6665 0.1661  2 Tm 3.48-3.49, 1 Er 3.49, 9 Ho 3.49-3.52
6 Ho 0.5549 0.6667 0.3331  3 Tm 3.49-3.50, 9 Ho 3.49-3.52
7 Ho 0.1117 0.0000 0.6669  3 Tm 3.49-3.50, 9 Ho 3.50-3.52
8 Ho 0.8883 0.0000 0.3331  3 Tm 3.49-3.50, 9 Ho 3.50-3.52
9 Ho 0.7784 0.6667 0.6669  3 Tm 3.49-3.50, 9 Ho 3.49-3.52
10 Ho 0.2776 0.0000 0.1661  1 Er 3.48, 2 Tm 3.49, 9 Ho 3.49-3.52
11 Ho 0.7224 0.0000 0.8339  1 Er 3.48, 2 Tm 3.49, 9 Ho 3.49-3.52
12 Ho 0.6105 0.3335 0.1661  2 Tm 3.48-3.49, 1 Er 3.49, 9 Ho 3.49-3.52
13 Er 0.0000 0.0000 0.0000  6 Ho 3.48-3.49, 6 Tm 3.52
14 Tm 0.8334 0.3333 0.5000  6 Ho 3.49-3.50, 6 Tm 3.52
15 Tm 0.5000 0.0000 0.5000  6 Ho 3.49-3.50, 6 Tm 3.52
16 Tm 0.1666 0.6668 0.5000  6 Ho 3.49-3.50, 6 Tm 3.52
17 Tm 0.3333 0.3334 0.0000  6 Ho 3.48-3.49, 3 Er 3.52, 3 Tm 3.52
18 Tm 0.6667 0.6666 0.0000  6 Ho 3.48-3.49, 3 Er 3.52, 3 Tm 3.52

Computed properties:
total energy: -4.536 eV per atom
formation enthalpy at 0 K: 0.01 eV per atom
symmetry: C2/m, No. 12

Entry 2:
Computed, not measured: MgSc2Se4 after structural relaxation at the PBE level of DFT.

a b c (Å): 7.1171 8.2332 14.0111
angles (deg): 98.42 94.79 90.06
Closest atoms and distances in Å follow each position.
Fractional coordinates of all 28 atoms:
1 Se 0.3966 0.6028 0.8983  2 Sc 2.55-2.77, 2 Mg 2.77-2.78
2 Se 0.1906 0.2824 0.6399  3 Sc 2.60-2.61
3 Se 0.8094 0.7176 0.3601  3 Sc 2.60-2.61
4 Se 0.6034 0.3972 0.1017  2 Sc 2.55-2.77, 2 Mg 2.77-2.78
5 Se 0.3106 0.9692 0.3641  2 Sc 2.57, 1 Mg 2.60
6 Se 0.9002 0.8509 0.8989  2 Mg 2.56-2.75, 2 Sc 2.70-2.71
7 Se 0.8090 0.2188 0.3637  2 Sc 2.57-2.58, 1 Mg 2.60
8 Se 0.4040 0.0951 0.8962  3 Sc 2.56-2.79, 1 Mg 2.83
9 Se 0.6894 0.0308 0.6359  2 Sc 2.57, 1 Mg 2.60
10 Se 0.3106 0.4671 0.3595  2 Sc 2.57, 1 Mg 2.60
11 Se 0.8982 0.3471 0.8961  2 Sc 2.54-2.75, 2 Mg 2.77-2.79
12 Se 0.0998 0.1491 0.1011  2 Mg 2.56-2.75, 2 Sc 2.70-2.71
13 Se 0.1018 0.6529 0.1039  2 Sc 2.54-2.75, 2 Mg 2.77-2.79
14 Se 0.6894 0.5329 0.6405  2 Sc 2.57, 1 Mg 2.60
15 Se 0.5960 0.9049 0.1038  3 Sc 2.56-2.79, 1 Mg 2.83
16 Se 0.1910 0.7812 0.6363  2 Sc 2.57-2.58, 1 Mg 2.60
17 Mg 0.8709 0.8021 0.7137  4 Se 2.56-2.60
18 Mg 0.7506 0.6249 0.9986  6 Se 2.75-2.83
19 Mg 0.1291 0.1979 0.2863  4 Se 2.56-2.60
20 Mg 0.2494 0.3751 0.0014  6 Se 2.75-2.83
21 Sc 0.6306 0.4451 0.2861  4 Se 2.55-2.61
22 Sc 0.7579 0.1228 0.9999  6 Se 2.70-2.79
23 Sc 0.8636 0.2989 0.7120  4 Se 2.54-2.61
24 Sc 0.1364 0.7011 0.2880  4 Se 2.54-2.61
25 Sc 0.6284 0.9539 0.2893  4 Se 2.56-2.60
26 Sc 0.3694 0.5549 0.7139  4 Se 2.55-2.61
27 Sc 0.3716 0.0461 0.7107  4 Se 2.56-2.60
28 Sc 0.2421 0.8772 0.0001  6 Se 2.70-2.79

Computed properties:
total energy: -5.451 eV per atom
energy above the lowest structure with this stoichiometry: 157 meV/atom
symmetry: P-1, No. 2

Entry 3:
Computed, not measured: BaGe2Au4 after structural relaxation at the PBE level of DFT.

a b c (Å): 4.9179 7.0788 4.9179
angles (deg): 101.45 96.31 78.55
Closest atoms and distances in Å follow each position.
Fractional coordinates of all 7 atoms:
1 Au 0.5931 0.6622 0.9245  2 Ge 2.62-2.63, 2 Au 2.86-2.89
2 Au 0.0755 0.6622 0.4069  2 Ge 2.62-2.63, 2 Au 2.86-2.89
3 Au 0.4069 0.3378 0.0755  2 Ge 2.62-2.63, 2 Au 2.86-2.89
4 Au 0.9245 0.3378 0.5931  2 Ge 2.62-2.63, 2 Au 2.86-2.89
5 Ba 0.0000 0.0000 0.0000  8 Au 3.35-3.39, 4 Ge 3.56
6 Ge 0.4567 0.2041 0.5433  4 Au 2.62-2.63, 1 Ge 2.79
7 Ge 0.5433 0.7959 0.4567  4 Au 2.62-2.63, 1 Ge 2.79

Computed properties:
total energy: -3.806 eV per atom
formation enthalpy at 0 K: -0.34 eV per atom
energy above the lowest structure with this stoichiometry: 0 meV/atom
symmetry: C2/m, No. 12

Entry 4:
Computed, not measured: Tb4Nd2Ho7 after structural relaxation at the PBE level of DFT.

a b c (Å): 6.3052 6.2907 12.1639
angles (deg): 78.70 97.80 116.81
Closest atoms and distances in Å follow each position.
Fractional coordinates of all 13 atoms:
1 Tb 0.9927 0.2275 0.5453  6 Tb 3.20-3.40, 4 Ho 3.30-3.55
2 Tb 0.4878 0.2606 0.4619  6 Tb 3.20-3.40, 4 Ho 3.33-3.58
3 Tb 0.5122 0.7394 0.5381  6 Tb 3.20-3.40, 4 Ho 3.33-3.58
4 Tb 0.0073 0.7725 0.4547  6 Tb 3.20-3.40, 4 Ho 3.30-3.55
5 Ho 0.9628 0.7306 0.7471  3 Tb 3.52-3.56, 7 Ho 3.53-3.84, 2 Nd 3.65-3.68
6 Ho 0.3898 0.9259 0.2486  3 Tb 3.41-3.58, 6 Ho 3.49-3.76, 2 Nd 3.59-3.62
7 Ho 0.2995 0.3986 0.7803  2 Tb 3.30-3.33, 3 Ho 3.39-3.53, 2 Nd 3.39-3.40
8 Ho 0.7005 0.6014 0.2197  2 Tb 3.30-3.33, 3 Ho 3.39-3.53, 2 Nd 3.39-3.40
9 Ho 0.0372 0.2694 0.2529  3 Tb 3.52-3.56, 7 Ho 3.53-3.84, 2 Nd 3.65-3.68
10 Ho 0.0000 0.0000 0.0000  6 Ho 3.39-3.73, 6 Nd 3.53-3.78
11 Ho 0.6102 0.0741 0.7514  3 Tb 3.41-3.58, 6 Ho 3.49-3.76, 2 Nd 3.59-3.62
12 Nd 0.6704 0.3282 0.9999  9 Ho 3.39-3.78, 3 Nd 3.67-3.72
13 Nd 0.3296 0.6718 0.0001  9 Ho 3.39-3.78, 3 Nd 3.67-3.72

Computed properties:
total energy: -4.479 eV per atom
formation enthalpy at 0 K: 0.14 eV per atom
symmetry: P-1, No. 2

Entry 5:
Computed, not measured: CaCu3O after structural relaxation at the PBE level of DFT.

a b c (Å): 4.2480 4.2480 4.2480
angles (deg): 90.00 90.00 90.00
Closest atoms and distances in Å follow each position.
Fractional coordinates of all 5 atoms:
1 Cu 0.5000 0.0000 0.0000  2 O 2.12
2 Cu 0.0000 0.5000 0.0000  2 O 2.12
3 Cu 0.0000 0.0000 0.5000  2 O 2.12
4 Ca 0.5000 0.5000 0.5000  12 Cu 3.00
5 O 0.0000 0.0000 0.0000  6 Cu 2.12

Computed properties:
total energy: -3.873 eV per atom
energy above the lowest structure with this stoichiometry: 0 meV/atom
symmetry: Pm-3m, No. 221

Entry 6:
Computed, not measured: CaLa7Nd4 after structural relaxation at the PBE level of DFT.

a b c (Å): 7.4722 6.4613 11.1929
angles (deg): 73.27 60.05 90.05
Closest atoms and distances in Å follow each position.
Fractional coordinates of all 12 atoms:
1 La 0.7399 0.5015 0.9996  7 La 3.58-3.89, 3 Nd 3.70-3.74, 2 Ca 3.76-3.78
2 La 0.9981 0.3400 0.6634  5 La 3.63-3.82, 6 Nd 3.66-3.80, 1 Ca 3.78
3 La 0.7452 0.1703 0.3390  6 Nd 3.66-3.81, 5 La 3.67-3.82, 1 Ca 3.80
4 La 0.2548 0.8297 0.6610  6 Nd 3.66-3.81, 5 La 3.67-3.82, 1 Ca 3.80
5 La 0.5000 0.0000 0.0000  6 La 3.69-3.75, 4 Nd 3.73-3.76, 2 Ca 3.74
6 La 0.0019 0.6600 0.3366  5 La 3.63-3.82, 6 Nd 3.66-3.80, 1 Ca 3.78
7 La 0.2601 0.4985 0.0004  7 La 3.58-3.89, 3 Nd 3.70-3.74, 2 Ca 3.76-3.78
8 Nd 0.5069 0.3408 0.6627  8 La 3.66-3.81, 3 Nd 3.68-3.73, 1 Ca 3.79
9 Nd 0.2510 0.1640 0.3338  9 La 3.69-3.75, 3 Nd 3.69-3.73
10 Nd 0.4931 0.6592 0.3373  8 La 3.66-3.81, 3 Nd 3.68-3.73, 1 Ca 3.79
11 Nd 0.7490 0.8360 0.6662  9 La 3.69-3.75, 3 Nd 3.69-3.73
12 Ca 0.0000 0.0000 0.0000  10 La 3.74-3.80, 2 Nd 3.79

Computed properties:
total energy: -4.602 eV per atom
formation enthalpy at 0 K: 0.03 eV per atom
symmetry: P-1, No. 2

Entry 7:
Computed, not measured: Ti2GaCo after structural relaxation at the PBE level of DFT.

a b c (Å): 3.4199 4.1143 4.1143
angles (deg): 90.00 90.00 90.00
Closest atoms and distances in Å follow each position.
Fractional coordinates of all 4 atoms:
1 Ti 0.0000 0.5000 0.0000  4 Co 2.68, 4 Ga 2.68, 4 Ti 2.91
2 Ti 0.0000 0.0000 0.5000  4 Co 2.68, 4 Ga 2.68, 4 Ti 2.91
3 Ga 0.5000 0.0000 0.0000  8 Ti 2.68, 4 Co 2.91
4 Co 0.5000 0.5000 0.5000  8 Ti 2.68, 4 Ga 2.91

Computed properties:
total energy: -6.835 eV per atom
formation enthalpy at 0 K: -0.35 eV per atom
symmetry: P4/mmm, No. 123

Entry 8:
Computed, not measured: LiDyLuBe after structural relaxation at the PBE level of DFT.

a b c (Å): 4.9310 4.9310 4.9310
angles (deg): 60.00 60.00 60.00
Closest atoms and distances in Å follow each position.
Fractional coordinates of all 4 atoms:
1 Li 0.0000 0.0000 0.0000  4 Dy 3.02, 4 Lu 3.02
2 Be 0.5000 0.5000 0.5000  4 Dy 3.02, 4 Lu 3.02
3 Dy 0.7500 0.7500 0.7500  4 Be 3.02, 4 Li 3.02
4 Lu 0.2500 0.2500 0.2500  4 Li 3.02, 4 Be 3.02

Computed properties:
total energy: -3.562 eV per atom
formation enthalpy at 0 K: 0.13 eV per atom
symmetry: F-43m, No. 216

Entry 9:
Computed, not measured: LuHfBeRu after structural relaxation at the PBE level of DFT.

a b c (Å): 4.6300 4.6300 4.6300
angles (deg): 60.00 60.00 60.00
Closest atoms and distances in Å follow each position.
Fractional coordinates of all 4 atoms:
1 Be 0.7500 0.7500 0.7500  4 Hf 2.84, 4 Lu 2.84
2 Ru 0.2500 0.2500 0.2500  4 Hf 2.84, 4 Lu 2.84
3 Hf 0.5000 0.5000 0.5000  4 Be 2.84, 4 Ru 2.84
4 Lu 0.0000 0.0000 0.0000  4 Be 2.84, 4 Ru 2.84

Computed properties:
total energy: -7.144 eV per atom
formation enthalpy at 0 K: -0.28 eV per atom
symmetry: F-43m, No. 216

Entry 10:
Computed, not measured: KNdSn4O12 after structural relaxation at the PBE level of DFT.

a b c (Å): 5.7796 5.7796 8.1514
angles (deg): 90.00 90.00 90.24
Closest atoms and distances in Å follow each position.
Fractional coordinates of all 18 atoms:
1 O 0.7338 0.7342 0.2806  2 Sn 2.07-2.08
2 O 0.0574 0.5238 0.5000  2 Sn 2.11
3 O 0.2564 0.7436 0.7521  2 Sn 2.08
4 O 0.4762 0.9426 0.5000  2 Sn 2.11
5 O 0.9786 0.4673 0.0000  2 Sn 2.01
6 O 0.7300 0.2700 0.6933  2 Sn 2.06
7 O 0.2658 0.2662 0.2806  2 Sn 2.07-2.08
8 O 0.2658 0.2662 0.7194  2 Sn 2.07-2.08
9 O 0.7300 0.2700 0.3067  2 Sn 2.06
10 O 0.5327 0.0214 0.0000  2 Sn 2.01
11 O 0.2564 0.7436 0.2479  2 Sn 2.08
12 O 0.7338 0.7342 0.7194  2 Sn 2.07-2.08
13 Sn 0.9942 0.4949 0.7545  6 O 2.01-2.11
14 Sn 0.9942 0.4949 0.2455  6 O 2.01-2.11
15 Sn 0.5051 0.0058 0.7545  6 O 2.01-2.11
16 Sn 0.5051 0.0058 0.2455  6 O 2.01-2.11
17 K 0.0123 0.9877 0.0000  6 O 2.78-3.01
18 Nd 0.4843 0.5157 0.5000  8 O 2.47-2.62

Computed properties:
total energy: -5.912 eV per atom
symmetry: Amm2, No. 38

Entry 11:
Computed, not measured: MgCd2GeMo after structural relaxation at the PBE level of DFT.

a b c (Å): 5.1867 4.9154 5.1867
angles (deg): 90.00 90.00 90.00
Closest atoms and distances in Å follow each position.
Fractional coordinates of all 5 atoms:
1 Mg 0.0000 0.5000 0.0000  2 Ge 2.46
2 Cd 0.0000 0.0000 0.5000  2 Ge 2.59
3 Cd 0.5000 0.0000 0.0000  2 Ge 2.59
4 Ge 0.0000 0.0000 0.0000  2 Mg 2.46, 4 Cd 2.59
5 Mo 0.5000 0.5000 0.5000  8 Cd 3.57, 4 Mg 3.67

Computed properties:
total energy: -2.732 eV per atom
formation enthalpy at 0 K: 1.04 eV per atom
symmetry: P4/mmm, No. 123

Entry 12:
Computed, not measured: CsFe2Ir4 after structural relaxation at the PBE level of DFT.

a b c (Å): 4.9586 4.9586 7.5060
angles (deg): 70.71 70.71 90.00
Closest atoms and distances in Å follow each position.
Fractional coordinates of all 7 atoms:
1 Cs 0.0000 0.0000 0.0000  4 Ir 2.48
2 Ir 0.7556 0.7556 0.4887  1 Fe 2.21
3 Ir 0.0000 0.5000 0.0000  2 Cs 2.48, 4 Fe 2.75
4 Ir 0.5000 0.0000 0.0000  2 Cs 2.48, 4 Fe 2.75
5 Ir 0.2444 0.2444 0.5113  1 Fe 2.21
6 Fe 0.4110 0.4110 0.1781  1 Ir 2.21, 1 Fe 2.36
7 Fe 0.5890 0.5890 0.8219  1 Ir 2.21, 1 Fe 2.36

Computed properties:
total energy: -5.212 eV per atom
formation enthalpy at 0 K: 2.39 eV per atom
symmetry: I4/mmm, No. 139